Ba2DyAgO5 | Alexandria via LeMat-Bulk | PBE | optimized geometry; DFT total energy = -109.45 eV per cell; N(E_F) = 3.0 states/eV per cell; M_tot = 0.0 μB/cell
1.0
3.633 0.000 0.000
-1.816 7.040 0.000
0.000 0.000 12.073
O Ba Dy Ag
10 4 2 2
Cartesian
0.000 6.805 9.430 O
1.816 3.210 1.670 O
1.816 6.206 6.811 O
1.816 1.767 5.884 O
0.000 5.274 11.920 O
0.000 4.667 4.823 O
1.816 0.236 3.394 O
0.000 0.834 0.774 O
1.816 2.373 10.859 O
0.000 3.830 7.707 O
0.000 1.302 8.234 Ba
0.000 2.108 3.632 Ba
1.816 4.932 9.669 Ba
1.816 5.738 2.198 Ba
1.816 4.111 6.309 Dy
0.000 2.929 0.273 Dy
1.816 0.309 11.445 Ag
0.000 6.732 5.409 Ag